No. 1
K3Sn2Pt4 after structural relaxation. Source: the Alexandria database, functional PBE-GGA.

## Properties
**Calculated formation energy**: -3.15 eV per formula unit

```
K3Sn2Pt4
1.0
6.160 -2.246 0.000
6.160 2.246 0.000
-2.927 0.000 8.916
K Sn Pt
3 2 4
Cartesian
0.000 0.000 0.000 K
2.724 0.000 5.602 K
6.669 0.000 3.313 K
3.309 0.000 2.051 Sn
6.083 0.000 6.864 Sn
-0.843 0.000 5.596 Pt
0.449 0.000 8.180 Pt
8.944 0.000 0.736 Pt
10.235 0.000 3.320 Pt
```

***

No. 2
Pu3Zr2PaP6 after structural relaxation. Source: the Alexandria database, functional PBE-GGA.

## Properties
**Calculated formation energy**: -15.49 eV per formula unit

```
Pu3Zr2PaP6
1.0
3.379 -5.858 0.000
3.379 5.858 0.000
-2.267 0.000 6.370
Pu Zr Pa P
3 2 1 6
Cartesian
0.000 0.000 0.000 Pu
3.379 1.934 0.000 Pu
3.379 -1.934 0.000 Pu
2.245 3.893 3.185 Zr
2.245 -3.893 3.185 Zr
2.245 0.000 3.185 Pa
1.103 1.994 1.651 P
-0.049 0.000 4.703 P
1.103 -1.994 1.651 P
3.388 1.994 4.720 P
4.540 0.000 1.667 P
3.388 -1.994 4.720 P
```

***

No. 3
CaTbGdLu after structural relaxation. Source: the Alexandria database, functional PBE-GGA.

## Properties
**Calculated formation energy**: 0.58 eV per formula unit

```
CaTbGdLu
1.0
0.000 4.046 4.046
4.046 0.000 4.046
4.046 4.046 0.000
Ca Tb Gd Lu
1 1 1 1
Cartesian
0.000 0.000 0.000 Ca
6.070 6.070 6.070 Tb
2.023 2.023 2.023 Gd
4.046 4.046 4.046 Lu
```

***

No. 4
ErTi2N after structural relaxation. Source: the Alexandria database, functional PBE-GGA.

## Properties
**Raw formation energy**: -680 meV per atom

```
ErTi2N
1.0
1.548 0.894 8.199
-1.548 0.894 8.199
0.000 -1.788 8.199
Er Ti N
1 2 1
Cartesian
0.000 0.000 0.000 Er
0.000 0.000 3.019 Ti
0.000 0.000 21.577 Ti
0.000 0.000 12.298 N
```

***

No. 5
PPdRhS2 after structural relaxation. Source: the Alexandria database, functional PBE-GGA.

## Properties
**ΔE to the lowest computed polymorph**: 1.56 eV/f.u.
**Raw formation energy**: 991 meV per atom

```
PPdRhS2
1.0
4.693 0.000 0.000
0.000 4.693 0.000
0.000 0.000 4.483
P Pd Rh S
1 1 1 2
Cartesian
0.000 0.000 0.000 P
0.000 0.000 2.241 Pd
2.347 2.347 0.000 Rh
0.000 2.347 2.241 S
2.347 0.000 2.241 S
```

***

No. 6
CaTa2Os after structural relaxation. Source: the Alexandria database, functional PBE-GGA.

## Properties
**Calculated formation energy**: 2.44 eV per formula unit
**ΔE to the lowest computed polymorph**: 1.63 eV/f.u.

```
CaTa2Os
1.0
-3.901 3.901 2.904
3.901 -3.901 2.904
3.901 3.901 -2.904
Ca Ta Os
2 4 2
Cartesian
0.000 0.000 0.000 Ca
0.000 3.901 1.452 Ca
1.950 -1.440 2.178 Ta
2.460 1.950 0.726 Ta
1.950 5.341 -0.726 Ta
1.440 1.950 3.630 Ta
3.901 0.000 1.452 Os
0.000 0.000 2.904 Os
```

***

Table of total magnetization (μB per formula unit), in record order: 0.00 5.22 7.51 0.00 0.61 0.00
Table of calculated volume (Å³ per cell), in record order: 246.7 252.2 132.5 68.1 98.7 176.7
Table of energy (eV per atom), in record order: -4.290 -9.795 -6.164 -7.850 -4.251 -8.624